The following is a PBE-GGA calculation of crystalline GeTe2HN at its relaxed geometry, from the Alexandria database.

```
5
Lattice="5.815 0.000 0.000 0.000 5.815 0.000 0.000 0.000 3.440" Properties=species:S:1:pos:R:3 pbc="T T T"
Ge 0.000 0.000 0.000
Te 0.000 2.908 0.000
Te 2.908 0.000 0.000
H 2.908 2.908 1.720
N 0.000 0.000 1.720
```

Calculated values
The spin magnetization is 0.135 μB/atom. The calculation puts the uncorrected energy at -3.390 eV/atom.

***

The following is a PBE-GGA calculation of crystalline AcAsRu at its relaxed geometry, from the Alexandria database.

```
3
Lattice="4.306 0.000 0.000 -2.153 3.729 0.000 0.000 0.000 4.486" Properties=species:S:1:pos:R:3 pbc="T T T"
Ac 0.000 0.000 0.000
As 0.000 2.486 2.243
Ru 2.153 1.243 2.236
```

Calculated values
The spin magnetization is 0.001 μB/atom. As for the calculated formation energy: -0.669 eV/atom.

***

The following is a PBE-GGA calculation of crystalline Ba2Tl4Cd3Ga at its relaxed geometry, from the Alexandria database.

```
10
Lattice="5.055 0.000 0.000 0.000 5.055 0.000 0.000 0.000 12.166" Properties=species:S:1:pos:R:3 pbc="T T T"
Ba 0.000 2.528 2.933
Ba 2.528 0.000 9.233
Tl 0.000 0.000 6.083
Tl 0.000 2.528 10.643
Tl 2.528 0.000 1.523
Tl 2.528 2.528 6.083
Cd 0.000 0.000 0.000
Cd 0.000 2.528 7.752
Cd 2.528 0.000 4.414
Ga 2.528 2.528 0.000
```

Calculated values
The spin magnetization is 0.000 μB/atom. As for the calculated formation energy: -0.253 eV/atom.

***

The following is a PBE-GGA calculation of crystalline MgBeV at its relaxed geometry, from the Alexandria database.

```
12
Lattice="12.346 0.000 0.000 0.000 3.348 0.000 -0.685 0.000 4.082" Properties=species:S:1:pos:R:3 pbc="T T T"
Mg 2.777 0.000 1.002
Mg 2.711 1.674 3.080
Mg 8.950 1.674 1.002
Mg 8.884 0.000 3.080
Be 0.781 1.674 0.779
Be 4.707 0.000 3.303
Be 6.954 0.000 0.779
Be 10.880 1.674 3.303
V 0.307 0.000 2.763
V 5.181 1.674 1.319
V 6.480 1.674 2.763
V 11.353 0.000 1.319
```

Calculated values
The spin magnetization is 0.000 μB/atom. As for the calculated formation energy: 0.288 eV/atom.

***

The following is a PBE-GGA calculation of crystalline Ca4PSCl2 at its relaxed geometry, from the Alexandria database.

```
8
Lattice="7.086 0.000 0.000 0.000 4.117 0.000 -2.380 0.000 6.698" Properties=species:S:1:pos:R:3 pbc="T T T"
Ca 1.000 0.000 1.578
Ca -0.205 2.058 4.990
Ca 4.911 2.058 1.708
Ca 3.706 0.000 5.121
P 0.000 2.058 0.000
S -1.190 0.000 3.349
Cl 3.543 0.000 0.000
Cl 2.353 2.058 3.349
```

Calculated values
The spin magnetization is 0.000 μB/atom. The value obtained for the formation energy without anion corrections is -1.7675 eV per atom.

***

The following is a PBE-GGA calculation of crystalline CuNiHPd2 at its relaxed geometry, from the Alexandria database.

```
5
Lattice="3.952 0.000 0.000 0.000 3.952 0.000 0.000 0.000 3.656" Properties=species:S:1:pos:R:3 pbc="T T T"
Cu 0.000 0.000 0.000
Ni 1.976 1.976 0.000
H 0.000 0.000 1.828
Pd 0.000 1.976 1.828
Pd 1.976 0.000 1.828
```

Calculated values
The spin magnetization is 0.210 μB/atom. The calculation puts the uncorrected energy at -4.711 eV/atom.

***

The following is a PBE-GGA calculation of crystalline CsLiUS3 at its relaxed geometry, from the Alexandria database.

```
12
Lattice="9.302 0.000 0.000 0.000 4.115 0.000 -3.438 0.000 9.038" Properties=species:S:1:pos:R:3 pbc="T T T"
Cs 1.113 1.029 2.356
Cs 4.750 3.086 6.682
Li -1.327 1.029 5.401
Li 7.191 3.086 3.636
U 0.097 3.086 7.665
U 5.767 1.029 1.373
S -1.664 1.029 7.819
S -0.100 3.086 5.047
S 3.944 3.086 1.335
S 1.920 1.029 7.703
S 5.964 1.029 3.991
S 7.527 3.086 1.219
```

Calculated values
The spin magnetization is 0.333 μB/atom. The value obtained for the formation energy without anion corrections is -1.4232 eV per atom.

***

The following is a PBE-GGA calculation of crystalline Mn4AlTc at its relaxed geometry, from the Alexandria database.

```
6
Lattice="0.000 3.305 3.305 3.305 0.000 3.305 3.305 3.305 0.000" Properties=species:S:1:pos:R:3 pbc="T T T"
Mn 2.490 2.490 2.490
Mn 4.120 4.120 2.490
Mn 4.120 2.490 4.120
Mn 2.490 4.120 4.120
Al 4.957 4.957 4.957
Tc 0.000 0.000 0.000
```

Calculated values
The spin magnetization is 0.000 μB/atom. As for the calculated formation energy: -0.070 eV/atom.

***

The following is a PBE-GGA calculation of crystalline ZnMoAu2 at its relaxed geometry, from the Alexandria database.

```
16
Lattice="3.877 0.000 0.000 0.000 3.877 0.000 0.000 0.000 19.190" Properties=species:S:1:pos:R:3 pbc="T T T"
Zn 0.000 0.000 0.000
Zn 0.000 1.938 4.797
Zn 1.938 0.000 14.392
Zn 1.938 1.938 9.595
Mo 0.000 0.000 9.595
Mo 0.000 1.938 14.392
Mo 1.938 0.000 4.797
Mo 1.938 1.938 0.000
Au 0.956 0.969 2.399
Au 0.969 2.895 7.196
Au 0.969 2.921 16.791
Au 0.982 0.969 11.993
Au 2.895 2.908 11.993
Au 2.908 0.956 16.791
Au 2.908 0.982 7.196
Au 2.921 2.908 2.399
```

Calculated values
The spin magnetization is 0.305 μB/atom. As for the calculated formation energy: 0.548 eV/atom.

***

The following is a PBE-GGA calculation of crystalline CsAg2S at its relaxed geometry, from the Alexandria database.

```
16
Lattice="5.629 0.000 0.000 0.000 5.629 0.000 0.000 0.000 17.366" Properties=species:S:1:pos:R:3 pbc="T T T"
Cs 0.000 1.407 6.512
Cs 0.000 4.222 10.854
Cs 2.815 1.407 2.171
Cs 2.815 4.222 15.195
Ag 0.000 0.000 0.000
Ag 0.000 2.815 0.000
Ag 1.407 1.407 13.025
Ag 1.407 4.222 4.342
Ag 2.815 0.000 8.683
Ag 2.815 2.815 8.683
Ag 4.222 1.407 13.025
Ag 4.222 4.222 4.342
S 0.000 1.407 15.195
S 0.000 4.222 2.171
S 2.815 1.407 10.854
S 2.815 4.222 6.512
```

Calculated values
The spin magnetization is 0.000 μB/atom. The value obtained for the formation energy without anion corrections is -0.1956 eV per atom.

***

The following is a PBE-GGA calculation of crystalline Li3Tc at its relaxed geometry, from the Alexandria database.

```
8
Lattice="5.482 0.000 0.000 0.000 8.765 0.000 0.000 0.000 2.412" Properties=species:S:1:pos:R:3 pbc="T T T"
Li 0.000 0.000 0.000
Li 1.370 2.191 1.206
Li 1.370 6.573 1.206
Li 2.741 4.382 0.000
Li 4.111 2.191 1.206
Li 4.111 6.573 1.206
Tc 0.000 4.382 0.000
Tc 2.741 0.000 0.000
```

Calculated values
The spin magnetization is 0.002 μB/atom. As for the calculated formation energy: 0.273 eV/atom.

***

The following is a PBE-GGA calculation of crystalline AlBiMo2 at its relaxed geometry, from the Alexandria database.

```
16
Lattice="4.108 0.000 0.000 0.000 4.108 0.000 0.000 0.000 19.328" Properties=species:S:1:pos:R:3 pbc="T T T"
Al 0.000 0.000 0.000
Al 0.000 2.054 4.832
Al 2.054 0.000 14.496
Al 2.054 2.054 9.664
Bi 0.000 0.000 9.664
Bi 0.000 2.054 14.496
Bi 2.054 0.000 4.832
Bi 2.054 2.054 0.000
Mo 0.738 1.027 2.416
Mo 1.027 2.792 7.248
Mo 1.027 3.370 16.912
Mo 1.316 1.027 12.080
Mo 2.792 3.081 12.080
Mo 3.081 0.738 16.912
Mo 3.081 1.316 7.248
Mo 3.370 3.081 2.416
```

Calculated values
The spin magnetization is 0.000 μB/atom. As for the calculated formation energy: 0.615 eV/atom.